Computed, not measured: a relaxed ZnCuHg2 crystal at the PBE level of DFT.

## Properties
Total magnetic moment in μB per cell: 0.0
Raw total energy in eV/f.u.: -5.17
Crystal system: tetragonal

Cell lengths 4.4508, 4.4529, 3.6919 Å; angles 90.00, 90.00, 90.00 degrees
Last column: nearest neighbours and their distance in Å.
Fractional coordinates of all 4 atoms:
1 Cu 0.0000 0.5000 0.5000  8 Hg 2.89, 4 Zn 3.15
2 Hg 0.0000 0.0000 0.0000  4 Zn 2.89, 4 Cu 2.89, 4 Hg 3.15
3 Hg 0.5000 0.5000 0.0000  4 Cu 2.89, 4 Zn 2.89, 4 Hg 3.15
4 Zn 0.5000 0.0000 0.5000  8 Hg 2.89, 4 Cu 3.15